[1]
An optimized crystal structure of La2CoRhC. Source: Alexandria, functional GGA-PBE.

The structure belongs to space group P4/mmm (No. 123); the cell edges are 5.288, 5.288 and 3.594 Å and the angles 90.00°, 90.00° and 90.00°. Symmetry generates all atoms from La at (0.000, 0.500, 0.000), Co at (0.000, 0.000, 0.500), Rh at (0.500, 0.500, 0.500) and C at (0.000, 0.000, 0.000).

The energy of formation comes out at -319 meV per atom. For the density of states at the Fermi level, the calculation gives 3.3 states/eV/f.u.


[2]
An optimized crystal structure of Ru2IBr. Source: Alexandria, functional GGA-PBE.

The structure belongs to space group P1 (No. 1); the cell edges are 3.694, 6.511 and 9.282 Å and the angles 105.08°, 90.34° and 106.42°. Symmetry generates all atoms from Ru at (0.000, 0.000, 0.000), Ru at (0.084, 0.159, 0.298), Ru at (0.441, 0.877, 0.150), Ru at (0.641, 0.280, 0.145), I at (0.657, 0.299, 0.521), I at (0.871, 0.730, 0.322), Br at (0.211, 0.423, 0.986) and Br at (0.429, 0.863, 0.799).

For the density of states at the Fermi level, the calculation gives 3.1 states/eV/f.u. Its relative energy among the computed polymorphs is 30 meV per atom. Its energy relative to the elements, uncorrected is 0.248 eV/atom.


[3]
An optimized crystal structure of Ac2GeO. Source: Alexandria, functional GGA-PBE.

The structure belongs to space group R-3m (No. 166, hexagonal axes); the cell edges are 4.2380, 4.2380 and 20.4449 Å and the angles 90.00°, 90.00° and 120.00°. Symmetry generates all atoms from Ac at (0.0000, 0.0000, 0.2390), Ge at (0.0000, 0.0000, 0.0000) and O at (0.0000, 0.0000, 0.5000).

For the density of states at the Fermi level, the calculation gives 2.7 states/eV/f.u. Its relative energy among the computed polymorphs is 243 meV per atom. Its energy relative to the elements, uncorrected is -1.513 eV/atom.


[4]
An optimized crystal structure of Hf2TaCo. Source: Alexandria, functional GGA-PBE.

The structure belongs to space group R-3m (No. 166, hexagonal axes); the cell edges are 3.0337, 3.0337 and 28.5439 Å and the angles 90.00°, 90.00° and 120.00°. Symmetry generates all atoms from Hf at (0.0000, 0.0000, 0.0980), Ta at (0.0000, 0.0000, 0.0000) and Co at (0.0000, 0.0000, 0.5000).

The energy of formation comes out at 406 meV per atom. For the density of states at the Fermi level, the calculation gives 6.5 states/eV/f.u. Its relative energy among the computed polymorphs is 561 meV per atom.


[5]
An optimized crystal structure of Sr2AcTl2. Source: Alexandria, functional GGA-PBE.

The structure belongs to space group P2_1/m (No. 11); the cell edges are 5.895, 5.720 and 12.013 Å and the angles 90.00°, 90.03° and 90.00°. Symmetry generates all atoms from Sr at (0.250, 0.250, 0.000), Sr at (0.250, 0.250, 0.324), Ac at (0.251, 0.250, 0.665), Tl at (0.250, 0.750, 0.500) and Tl at (0.250, 0.750, 0.832).

The energy of formation comes out at -277 meV per atom. For the density of states at the Fermi level, the calculation gives 4.9 states/eV/f.u. Its relative energy among the computed polymorphs is 15 meV per atom.


[6]
An optimized crystal structure of NaCaSi. Source: Alexandria, functional GGA-PBE.

The structure belongs to space group P1 (No. 1); the cell edges are 5.427, 5.947 and 5.948 Å and the angles 109.60°, 96.44° and 96.46°. Symmetry generates all atoms from Na at (0.000, 0.000, 0.000), Na at (0.500, 0.175, 0.822), Ca at (0.001, 0.440, 0.559), Ca at (0.500, 0.750, 0.247), Si at (0.458, 0.278, 0.351) and Si at (0.544, 0.647, 0.720).

For the density of states at the Fermi level, the calculation gives 0.9 states/eV/f.u. Its energy relative to the elements, uncorrected is -0.112 eV/atom.